No. 1
# Ta2MnAl (PBE, relaxed)
# E_tot   -36.8 eV per cell
# Crystal system   orthorhombic
# ΔE_f   -0.0364 eV/atom
# N(E_F)   2.86 states/eV per cell
# Density   11698 kg/m3
data_Ta2MnAl
_chemical_formula_sum 'Ta2 Mn1 Al1'
_cell_length_a 4.705
_cell_length_b 4.705
_cell_length_c 2.964
_cell_angle_alpha 90.00
_cell_angle_beta 90.00
_cell_angle_gamma 106.24
_symmetry_space_group_name_H-M 'P 1'
_symmetry_Int_Tables_number 1
loop_
_symmetry_equiv_pos_as_xyz
'x,y,z'
loop_
_atom_site_label
_atom_site_type_symbol
_atom_site_fract_x
_atom_site_fract_y
_atom_site_fract_z
Ta1 Ta 0.000 0.500 0.000
Ta2 Ta 0.500 0.000 0.000
Mn1 Mn 0.000 0.000 0.500
Al1 Al 0.500 0.500 0.500

No. 2
# PrSmHoTl (PBE, relaxed)
# E_tot   -16.7 eV per cell
# Crystal system   cubic
# ΔE_f   -0.0635 eV/atom
# N(E_F)   5.83 states/eV per cell
# Density   8945 kg/m3
# Energy above the lowest structure with this stoichiometry   127 meV/atom
data_PrSmHoTl
_chemical_formula_sum 'Pr1 Sm1 Ho1 Tl1'
_cell_length_a 5.577
_cell_length_b 5.577
_cell_length_c 5.577
_cell_angle_alpha 60.00
_cell_angle_beta 60.00
_cell_angle_gamma 60.00
_symmetry_space_group_name_H-M 'P 1'
_symmetry_Int_Tables_number 1
loop_
_symmetry_equiv_pos_as_xyz
'x,y,z'
loop_
_atom_site_label
_atom_site_type_symbol
_atom_site_fract_x
_atom_site_fract_y
_atom_site_fract_z
Pr1 Pr 0.000 0.000 0.000
Sm1 Sm 0.500 0.500 0.500
Ho1 Ho 0.750 0.750 0.750
Tl1 Tl 0.250 0.250 0.250

No. 3
# Ho3Cd4In2 (PBE, relaxed)
# E_tot   -26.2 eV per cell
# Crystal system   monoclinic
# ΔE_f   -0.3668 eV/atom
# N(E_F)   4.66 states/eV per cell
# Density   8781 kg/m3
data_Ho3Cd4In2
_chemical_formula_sum 'Ho3 Cd4 In2'
_cell_length_a 6.046
_cell_length_b 6.046
_cell_length_c 9.283
_cell_angle_alpha 115.86
_cell_angle_beta 115.86
_cell_angle_gamma 48.15
_symmetry_space_group_name_H-M 'P 1'
_symmetry_Int_Tables_number 1
loop_
_symmetry_equiv_pos_as_xyz
'x,y,z'
loop_
_atom_site_label
_atom_site_type_symbol
_atom_site_fract_x
_atom_site_fract_y
_atom_site_fract_z
Ho1 Ho 0.000 0.000 0.000
Ho2 Ho 0.334 0.334 0.330
Ho3 Ho 0.666 0.666 0.670
Cd1 Cd 0.074 0.074 0.410
Cd2 Cd 0.293 0.293 0.964
Cd3 Cd 0.707 0.707 0.036
Cd4 Cd 0.926 0.926 0.590
In1 In 0.391 0.391 0.726
In2 In 0.609 0.609 0.274

No. 4
# SmGdRh4 (PBE, relaxed)
# E_tot   -52.4 eV per cell
# Crystal system   cubic
# ΔE_f   -0.7040 eV/atom
# N(E_F)   4.13 states/eV per cell
# Density   10884 kg/m3
data_SmGdRh4
_chemical_formula_sum 'Sm1 Gd1 Rh4'
_cell_length_a 5.374
_cell_length_b 5.374
_cell_length_c 5.374
_cell_angle_alpha 60.00
_cell_angle_beta 60.00
_cell_angle_gamma 60.00
_symmetry_space_group_name_H-M 'P 1'
_symmetry_Int_Tables_number 1
loop_
_symmetry_equiv_pos_as_xyz
'x,y,z'
loop_
_atom_site_label
_atom_site_type_symbol
_atom_site_fract_x
_atom_site_fract_y
_atom_site_fract_z
Sm1 Sm 0.000 0.000 0.000
Gd1 Gd 0.250 0.250 0.250
Rh1 Rh 0.125 0.625 0.625
Rh2 Rh 0.625 0.125 0.625
Rh3 Rh 0.625 0.625 0.125
Rh4 Rh 0.625 0.625 0.625

No. 5
# K2Tl5Sn (PBE, relaxed)
# E_tot   -18.7 eV per cell
# Crystal system   tetragonal
# ΔE_f   -0.0881 eV/atom
# N(E_F)   4.02 states/eV per cell
# Density   7609 kg/m3
data_K2Tl5Sn
_chemical_formula_sum 'K2 Tl5 Sn1'
_cell_length_a 9.231
_cell_length_b 9.231
_cell_length_c 9.231
_cell_angle_alpha 144.33
_cell_angle_beta 144.33
_cell_angle_gamma 51.33
_symmetry_space_group_name_H-M 'P 1'
_symmetry_Int_Tables_number 1
loop_
_symmetry_equiv_pos_as_xyz
'x,y,z'
loop_
_atom_site_label
_atom_site_type_symbol
_atom_site_fract_x
_atom_site_fract_y
_atom_site_fract_z
K1 K 0.246 0.246 0.000
K2 K 0.754 0.754 0.000
Tl1 Tl 0.105 0.605 0.500
Tl2 Tl 0.395 0.895 0.500
Tl3 Tl 0.500 0.500 0.000
Tl4 Tl 0.605 0.105 0.500
Tl5 Tl 0.895 0.395 0.500
Sn1 Sn 0.000 0.000 0.000

No. 6
# Mn2SiIrS (PBE, relaxed)
# E_tot   -38.0 eV per cell
# Crystal system   orthorhombic
# N(E_F)   3.11 states/eV per cell
# Density   8869 kg/m3
# Energy above the lowest structure with this stoichiometry   36 meV/atom
# Formation energy (no corrections)   -0.2526 eV per atom
data_Mn2SiIrS
_chemical_formula_sum 'Mn2 Si1 Ir1 S1'
_cell_length_a 6.763
_cell_length_b 6.763
_cell_length_c 6.763
_cell_angle_alpha 154.40
_cell_angle_beta 149.44
_cell_angle_gamma 40.28
_symmetry_space_group_name_H-M 'P 1'
_symmetry_Int_Tables_number 1
loop_
_symmetry_equiv_pos_as_xyz
'x,y,z'
loop_
_atom_site_label
_atom_site_type_symbol
_atom_site_fract_x
_atom_site_fract_y
_atom_site_fract_z
Mn1 Mn 0.000 0.000 0.000
Mn2 Mn 0.375 0.375 0.000
Si1 Si 0.566 0.566 0.000
Ir1 Ir 0.185 0.685 0.500
S1 S 0.823 0.823 0.000

No. 7
# Ac12TlCu5 (PBE, relaxed)
# E_tot   -73.8 eV per cell
# Crystal system   orthorhombic
# ΔE_f   -0.0895 eV/atom
# N(E_F)   20.88 states/eV per cell
# Density   8636 kg/m3
data_Ac12TlCu5
_chemical_formula_sum 'Ac12 Tl1 Cu5'
_cell_length_a 9.341
_cell_length_b 9.341
_cell_length_c 9.341
_cell_angle_alpha 113.76
_cell_angle_beta 109.34
_cell_angle_gamma 105.43
_symmetry_space_group_name_H-M 'P 1'
_symmetry_Int_Tables_number 1
loop_
_symmetry_equiv_pos_as_xyz
'x,y,z'
loop_
_atom_site_label
_atom_site_type_symbol
_atom_site_fract_x
_atom_site_fract_y
_atom_site_fract_z
Ac1 Ac 0.042 0.226 0.816
Ac2 Ac 0.177 0.286 0.463
Ac3 Ac 0.177 0.714 0.892
Ac4 Ac 0.326 0.014 0.688
Ac5 Ac 0.326 0.638 0.312
Ac6 Ac 0.410 0.226 0.184
Ac7 Ac 0.590 0.774 0.816
Ac8 Ac 0.674 0.362 0.688
Ac9 Ac 0.674 0.986 0.312
Ac10 Ac 0.823 0.286 0.108
Ac11 Ac 0.823 0.714 0.537
Ac12 Ac 0.958 0.774 0.184
Tl1 Tl 0.500 0.500 0.000
Cu1 Cu 0.000 0.000 0.000
Cu2 Cu 0.114 0.614 0.500
Cu3 Cu 0.352 0.000 0.352
Cu4 Cu 0.648 0.000 0.648
Cu5 Cu 0.886 0.386 0.500

No. 8
# Dy12Tm2Sc5 (PBE, relaxed)
# E_tot   -92.9 eV per cell
# Crystal system   monoclinic
# ΔE_f   0.1518 eV/atom
# N(E_F)   28.85 states/eV per cell
# Density   7304 kg/m3
data_Dy12Tm2Sc5
_chemical_formula_sum 'Dy12 Tm2 Sc5'
_cell_length_a 9.051
_cell_length_b 9.051
_cell_length_c 8.267
_cell_angle_alpha 90.62
_cell_angle_beta 90.62
_cell_angle_gamma 57.52
_symmetry_space_group_name_H-M 'P 1'
_symmetry_Int_Tables_number 1
loop_
_symmetry_equiv_pos_as_xyz
'x,y,z'
loop_
_atom_site_label
_atom_site_type_symbol
_atom_site_fract_x
_atom_site_fract_y
_atom_site_fract_z
Dy1 Dy 0.054 0.054 0.281
Dy2 Dy 0.102 0.679 0.383
Dy3 Dy 0.110 0.519 0.776
Dy4 Dy 0.321 0.898 0.617
Dy5 Dy 0.334 0.334 0.130
Dy6 Dy 0.481 0.890 0.224
Dy7 Dy 0.519 0.110 0.776
Dy8 Dy 0.666 0.666 0.870
Dy9 Dy 0.679 0.102 0.383
Dy10 Dy 0.890 0.481 0.224
Dy11 Dy 0.898 0.321 0.617
Dy12 Dy 0.946 0.946 0.719
Tm1 Tm 0.286 0.714 0.000
Tm2 Tm 0.714 0.286 0.000
Sc1 Sc 0.146 0.146 0.942
Sc2 Sc 0.252 0.252 0.453
Sc3 Sc 0.500 0.500 0.500
Sc4 Sc 0.748 0.748 0.547
Sc5 Sc 0.854 0.854 0.058

Look up the E_tot of the sixth one.
-38.0 eV per cell

Among the records above, which one has the highest density?
Ta2MnAl

Copy entry 6 word for word.
# Mn2SiIrS (PBE, relaxed)
# E_tot   -38.0 eV per cell
# Crystal system   orthorhombic
# N(E_F)   3.11 states/eV per cell
# Density   8869 kg/m3
# Energy above the lowest structure with this stoichiometry   36 meV/atom
# Formation energy (no corrections)   -0.2526 eV per atom
data_Mn2SiIrS
_chemical_formula_sum 'Mn2 Si1 Ir1 S1'
_cell_length_a 6.763
_cell_length_b 6.763
_cell_length_c 6.763
_cell_angle_alpha 154.40
_cell_angle_beta 149.44
_cell_angle_gamma 40.28
_symmetry_space_group_name_H-M 'P 1'
_symmetry_Int_Tables_number 1
loop_
_symmetry_equiv_pos_as_xyz
'x,y,z'
loop_
_atom_site_label
_atom_site_type_symbol
_atom_site_fract_x
_atom_site_fract_y
_atom_site_fract_z
Mn1 Mn 0.000 0.000 0.000
Mn2 Mn 0.375 0.375 0.000
Si1 Si 0.566 0.566 0.000
Ir1 Ir 0.185 0.685 0.500
S1 S 0.823 0.823 0.000